# 1
VASP calculation (GGA-PBEsol) on a geometry-optimized Rb2NbSe structure.

a b c (Å): 9.369 9.369 9.369
angles (deg): 94.05 94.05 149.16
Sites, in units of the cell vectors:
Rb  0.375  0.204  0.329
Rb  0.796  0.125  0.171
Rb  0.875  0.046  0.671
Rb  0.954  0.625  0.829
Nb  0.250  0.750  0.500
Nb  0.500  0.500  0.000
Se  0.000  0.000  0.000
Se  0.750  0.250  0.500

ΔE_f (raw) = 0.26 eV/atom
SG = No. 122

***

# 2
VASP calculation (GGA-PBEsol) on a geometry-optimized RbNb2Si structure.

a b c (Å): 9.917 9.917 9.917
angles (deg): 152.55 152.55 39.21
Sites, in units of the cell vectors:
Rb  0.000  0.000  0.000
Rb  0.750  0.250  0.500
Nb  0.283  0.625  0.158
Nb  0.375  0.533  0.658
Nb  0.467  0.125  0.842
Nb  0.875  0.717  0.342
Si  0.250  0.750  0.500
Si  0.500  0.500  0.000

ΔE_f (raw) = 1.16 eV/atom
SG = No. 122

***

# 3
VASP calculation (GGA-PBEsol) on a geometry-optimized Rb2NbTlSi structure.

a b c (Å): 6.540 6.540 4.894
angles (deg): 90.00 90.00 90.00
Sites, in units of the cell vectors:
Rb  0.000  0.500  0.000
Rb  0.500  0.000  0.000
Nb  0.000  0.000  0.000
Tl  0.500  0.500  0.500
Si  0.000  0.000  0.500

ΔE_f (raw) = 1.01 eV/atom
SG = No. 123

***

# 4
VASP calculation (GGA-PBEsol) on a geometry-optimized RbNb3Sn structure.

a b c (Å): 5.211 5.211 5.211
angles (deg): 90.00 90.00 90.00
Sites, in units of the cell vectors:
Rb  0.000  0.000  0.000
Nb  0.000  0.500  0.500
Nb  0.500  0.000  0.500
Nb  0.500  0.500  0.000
Sn  0.500  0.500  0.500

Energy relative to the elements = 1.894 eV per atom
Energy above the lowest structure with this stoichiometry = 0 meV/atom
SG = No. 221

***

Going through the records in order, we get magnetization values of 6.8 0.0 2.9 0.0 Bohr magnetons per cell.
Going through the records in order, we get DOS at the Fermi energy values of 4.1 7.5 4.4 6.3 states/eV per cell.